No. 1
Computed, not measured: an optimized crystal structure of Nd6DyTm3 at the PBE level of DFT.

Lattice parameters (Å, degrees): 9.809 21.371 6.423 90.00 90.00 90.00
Space group Cmc2_1 (No. 36)
Unique sites:
1 Nd 0.000 0.016 0.000
2 Nd 0.000 0.301 0.988
3 Nd 0.174 0.280 0.512
4 Nd 0.180 0.440 0.762
5 Dy 0.000 0.158 0.204
6 Tm 0.000 0.420 0.282
7 Tm 0.168 0.125 0.681

## Properties
Distance to the lowest polymorph of the same formula   0.00 kcal/mol of atoms
VASP energy   -4.5341 eV/atom

---

No. 2
Computed, not measured: an optimized crystal structure of Tb3SmTm2Bi6 at the PBE level of DFT.

Lattice parameters (Å, degrees): 19.539 4.484 8.968 90.00 103.21 90.00
Space group C2/m (No. 12)
Unique sites:
1 Tb 0.000 0.000 0.000
2 Tb 0.165 0.500 0.332
3 Sm 0.000 0.000 0.500
4 Tm 0.167 0.500 0.833
5 Bi 0.002 0.500 0.754
6 Bi 0.168 0.000 0.080
7 Bi 0.168 0.000 0.587

## Properties
VASP energy   -5.0891 eV/atom

---

No. 3
Computed, not measured: an optimized crystal structure of Ba2Hg6Bi at the PBE level of DFT.

Lattice parameters (Å, degrees): 12.169 7.123 6.510 90.00 90.59 90.00
Space group C2/m (No. 12)
Unique sites:
1 Ba 0.168 0.000 0.315
2 Hg 0.091 0.222 0.838
3 Hg 0.181 0.500 0.159
4 Bi 0.000 0.500 0.500

## Properties
VASP energy   -1.4723 eV/atom

---

| no. | DFT formation energy (eV/atom) |
| --- | --- |
| 1 | 0.128 |
| 2 | -0.853 |
| 3 | -0.413 |